1.
PmPaBi2 | the Alexandria database | PBE-GGA | optimized geometry; E = -5.89 eV/atom; energy relative to the elements = -386 meV per atom; space-group type = P4/mmm (123)
1.0
3.896 0.000 0.000
0.000 3.896 0.000
0.000 0.000 7.777
Pm Pa Bi
1 1 2
Direct
0.000 0.000 0.000
0.000 0.000 0.500
0.500 0.500 0.259
0.500 0.500 0.741


2.
Ce2ThSc6 | the Alexandria database | PBE-GGA | optimized geometry; E = -5.56 eV/atom; energy relative to the elements = 802 meV per atom; space-group type = P4_2/mnm (136)
1.0
7.703 0.000 0.000
0.000 7.703 0.000
0.000 0.000 9.346
Ce Th Sc
4 2 12
Direct
0.000 0.000 0.153
0.000 0.000 0.847
0.500 0.500 0.347
0.500 0.500 0.653
0.000 0.000 0.500
0.500 0.500 0.000
0.225 0.225 0.000
0.240 0.240 0.329
0.240 0.240 0.671
0.260 0.740 0.171
0.260 0.740 0.829
0.275 0.725 0.500
0.725 0.275 0.500
0.740 0.260 0.171
0.740 0.260 0.829
0.760 0.760 0.329
0.760 0.760 0.671
0.775 0.775 0.000